(1)
# Er5BiS4

A relaxed Er5BiS4 crystal (PBE-GGA, Alexandria).

SG: No. 12
formation energy without anion corrections: -1.6605 eV per atom
size of the total moment: 0.00 μB per formula unit

CIF file:
```
data_Er5BiS4
_chemical_formula_sum 'Er5 Bi1 S4'
_cell_length_a 6.891
_cell_length_b 6.891
_cell_length_c 9.819
_cell_angle_alpha 117.96
_cell_angle_beta 117.96
_cell_angle_gamma 33.44
_space_group_name_H-M_alt 'P 1'
_space_group_IT_number 1
_space_group_name_Hall 'P 1'
loop_
_atom_site_label
_atom_site_fract_x
_atom_site_fract_y
_atom_site_fract_z
_atom_site_occupancy
Er1 0.000 0.000 0.000 1
Er2 0.209 0.209 0.822 1
Er3 0.391 0.391 0.622 1
Er4 0.609 0.609 0.378 1
Er5 0.791 0.791 0.178 1
Bi1 0.000 0.000 0.500 1
S1 0.206 0.206 0.291 1
S2 0.407 0.407 0.103 1
S3 0.593 0.593 0.897 1
S4 0.794 0.794 0.709 1
```

(2)
# AcPm2Y5

A relaxed AcPm2Y5 crystal (PBE-GGA, Alexandria).

SG: No. 55
ΔE_f: 0.024 eV per atom
size of the total moment: 0.00 μB per formula unit

CIF file:
```
data_AcPm2Y5
_chemical_formula_sum 'Ac4 Pm8 Y20'
_cell_length_a 7.271
_cell_length_b 20.450
_cell_length_c 7.310
_cell_angle_alpha 90.00
_cell_angle_beta 90.00
_cell_angle_gamma 90.00
_space_group_name_H-M_alt 'P 1'
_space_group_IT_number 1
_space_group_name_Hall 'P 1'
loop_
_atom_site_label
_atom_site_fract_x
_atom_site_fract_y
_atom_site_fract_z
_atom_site_occupancy
Ac1 0.248 0.126 0.000 1
Ac2 0.252 0.626 0.000 1
Ac3 0.748 0.374 0.000 1
Ac4 0.752 0.874 0.000 1
Pm1 0.000 0.500 0.255 1
Pm2 0.000 0.500 0.745 1
Pm3 0.248 0.126 0.500 1
Pm4 0.252 0.626 0.500 1
Pm5 0.500 0.000 0.255 1
Pm6 0.500 0.000 0.745 1
Pm7 0.748 0.374 0.500 1
Pm8 0.752 0.874 0.500 1
Y1 0.000 0.000 0.255 1
Y2 0.000 0.000 0.745 1
Y3 0.003 0.750 0.255 1
Y4 0.003 0.750 0.745 1
Y5 0.247 0.375 0.000 1
Y6 0.248 0.375 0.500 1
Y7 0.252 0.875 0.500 1
Y8 0.253 0.875 0.000 1
Y9 0.497 0.250 0.255 1
Y10 0.497 0.250 0.745 1
Y11 0.500 0.500 0.255 1
Y12 0.500 0.500 0.745 1
Y13 0.503 0.750 0.255 1
Y14 0.503 0.750 0.745 1
Y15 0.747 0.125 0.000 1
Y16 0.748 0.125 0.500 1
Y17 0.752 0.625 0.500 1
Y18 0.753 0.625 0.000 1
Y19 0.997 0.250 0.255 1
Y20 0.997 0.250 0.745 1
```